Entry from Alexandria via LeMat-Bulk: a geometry-optimized TbYHoIn structure (PBE).

Calculated values
The value obtained for the density of states at the Fermi level is 6.190 states/eV per cell. As for the energy of formation from the pure elements: -269.1 meV/atom. The calculation puts the distance to the lowest polymorph of the same formula at 0 meV/atom. As for the size of the total moment: 0.284 μB per formula unit.

Cell lengths 4.8404, 4.8716, 4.8372 Å; angles 90.00, 90.00, 90.00 degrees
Each line ends with the local moment (μB).
Fractional coordinates of all 4 atoms:
Tb (0.5000, 0.0000, 0.5000)  0.07
Y (0.5000, 0.5000, 0.0000)  0.06
Ho (0.0000, 0.0000, 0.0000)  0.08
In (0.0000, 0.5000, 0.5000)  -0.01